Entry 1:
First-principles (PBE) data for a geometry-optimized In2Pb2Br structure, as listed in the Alexandria database.

E above lowest polymorph (eV per formula unit): 0.19

Lattice parameters (Å, degrees): 4.5569 4.5569 8.4857 74.42 74.42 90.00
Element x y z (fractional)
Br: 0.0000 0.0000 0.0000
In: 0.5926 0.5926 0.8149
In: 0.4074 0.4074 0.1851
Pb: 0.2500 0.7500 0.5000
Pb: 0.7500 0.2500 0.5000



Entry 2:
First-principles (PBE) data for a geometry-optimized InPb2Br structure, as listed in the Alexandria database.

E above lowest polymorph (eV per formula unit): 0.50

Lattice parameters (Å, degrees): 5.4011 5.4011 5.4011 113.77 113.77 101.17
Element x y z (fractional)
Pb: 0.0000 0.0000 0.0000
Pb: 0.5000 0.5000 0.0000
In: 0.7500 0.2500 0.5000
Br: 0.2500 0.7500 0.5000



Entry 3:
First-principles (PBE) data for a geometry-optimized InPb2Br structure, as listed in the Alexandria database.

E above lowest polymorph (eV per formula unit): 0.05

Lattice parameters (Å, degrees): 3.6315 3.6315 9.4030 90.00 90.00 90.00
Element x y z (fractional)
Br: 0.0000 0.0000 0.5342
Pb: 0.0000 0.0000 0.9958
Pb: 0.5000 0.5000 0.2406
In: 0.5000 0.5000 0.7294



Entry 4:
First-principles (PBE) data for a geometry-optimized InPb2Br structure, as listed in the Alexandria database.

E above lowest polymorph (eV per formula unit): 0.54

Lattice parameters (Å, degrees): 6.6758 6.6758 6.6758 139.56 139.56 58.53
Element x y z (fractional)
Pb: 0.0000 0.0000 0.0000
Pb: 0.2500 0.7500 0.5000
In: 0.7500 0.2500 0.5000
Br: 0.5000 0.5000 0.0000



Entry 5:
First-principles (PBE) data for a geometry-optimized In2Pb2Br structure, as listed in the Alexandria database.

E above lowest polymorph (eV per formula unit): 0.00

Lattice parameters (Å, degrees): 4.2269 4.2269 9.2539 76.80 76.80 90.00
Element x y z (fractional)
Pb: 0.3954 0.3954 0.2091
Pb: 0.6046 0.6046 0.7909
In: 0.2500 0.7500 0.5000
In: 0.7500 0.2500 0.5000
Br: 0.0000 0.0000 0.0000



Entry 6:
First-principles (PBE) data for a geometry-optimized In2Pb2Br7 structure, as listed in the Alexandria database.

Lattice parameters (Å, degrees): 7.4049 7.5048 7.4049 90.00 96.58 90.00
Element x y z (fractional)
Br: 0.5002 0.7484 0.4998
Br: 0.0002 0.7375 0.4997
Br: 0.5003 0.7375 0.9998
Br: 0.4998 0.2516 0.5002
Br: 0.0000 0.0000 0.0000
Br: 0.9998 0.2625 0.5003
Br: 0.4997 0.2625 0.0002
Pb: 0.7350 0.0000 0.2650
Pb: 0.2650 0.0000 0.7350
In: 0.7370 0.5000 0.7370
In: 0.2630 0.5000 0.2630



Entry 7:
First-principles (PBE) data for a geometry-optimized In2PbBr4 structure, as listed in the Alexandria database.

E above lowest polymorph (eV per formula unit): 0.00

Lattice parameters (Å, degrees): 4.4629 8.8876 8.8961 123.50 104.53 90.00
Element x y z (fractional)
Br: 0.6325 0.2584 0.2650
Br: 0.8796 0.1521 0.7592
Br: 0.1204 0.8479 0.2408
Br: 0.3675 0.7416 0.7350
In: 0.2945 0.2738 0.5889
In: 0.7055 0.7262 0.4111
Pb: 0.0000 0.0000 0.0000



Entry 8:
First-principles (PBE) data for a geometry-optimized InPb2Br structure, as listed in the Alexandria database.

E above lowest polymorph (eV per formula unit): 0.17

Lattice parameters (Å, degrees): 6.9561 6.9561 5.6292 66.52 66.52 29.72
Element x y z (fractional)
Pb: 0.9961 0.9961 0.0031
Pb: 0.2628 0.2628 0.2380
In: 0.7433 0.7433 0.7574
Br: 0.4979 0.4979 0.5016



Entry 9:
First-principles (PBE) data for a geometry-optimized In2PbBr2 structure, as listed in the Alexandria database.

Lattice parameters (Å, degrees): 8.0362 8.0362 4.9551 90.00 90.00 90.00
Element x y z (fractional)
Br: 0.8033 0.3033 0.5000
Br: 0.3033 0.1967 0.5000
Br: 0.6967 0.8033 0.5000
Br: 0.1967 0.6967 0.5000
In: 0.3616 0.8616 0.0000
In: 0.8616 0.6384 0.0000
In: 0.6384 0.1384 0.0000
In: 0.1384 0.3616 0.0000
Pb: 0.0000 0.0000 0.0000
Pb: 0.5000 0.5000 0.0000



Entry 10:
First-principles (PBE) data for a geometry-optimized In3PbBr structure, as listed in the Alexandria database.

E above lowest polymorph (eV per formula unit): 0.00

Lattice parameters (Å, degrees): 6.0723 6.0723 6.0723 90.00 90.00 90.00
Element x y z (fractional)
In: 0.0000 0.5000 0.0000
In: 0.5000 0.0000 0.0000
In: 0.0000 0.0000 0.5000
Pb: 0.0000 0.0000 0.0000
Br: 0.5000 0.5000 0.5000



Entry 11:
First-principles (PBE) data for a geometry-optimized InPb2Br structure, as listed in the Alexandria database.

E above lowest polymorph (eV per formula unit): 0.46

Lattice parameters (Å, degrees): 5.5264 5.5264 5.5264 60.00 60.00 60.00
Element x y z (fractional)
Pb: 0.2500 0.2500 0.2500
Pb: 0.0000 0.0000 0.0000
In: 0.7500 0.7500 0.7500
Br: 0.5000 0.5000 0.5000



Entry 12:
First-principles (PBE) data for a geometry-optimized InPb2Br structure, as listed in the Alexandria database.

E above lowest polymorph (eV per formula unit): 0.53

Lattice parameters (Å, degrees): 5.5047 5.5047 5.5047 60.00 60.00 60.00
Element x y z (fractional)
In: 0.5000 0.5000 0.5000
Br: 0.0000 0.0000 0.0000
Pb: 0.2500 0.2500 0.2500
Pb: 0.7500 0.7500 0.7500



Entry 13:
First-principles (PBE) data for a geometry-optimized In6PbBr8 structure, as listed in the Alexandria database.

Lattice parameters (Å, degrees): 8.6653 8.6653 8.6653 71.77 71.77 71.77
Element x y z (fractional)
In: 0.0387 0.4778 0.7084
In: 0.2916 0.9613 0.5222
In: 0.7084 0.0387 0.4778
In: 0.5222 0.2916 0.9613
In: 0.9613 0.5222 0.2916
In: 0.4778 0.7084 0.0387
Br: 0.6621 0.9124 0.1606
Br: 0.6810 0.6810 0.6810
Br: 0.9124 0.1606 0.6621
Br: 0.3379 0.0876 0.8394
Br: 0.0876 0.8394 0.3379
Br: 0.1606 0.6621 0.9124
Br: 0.8394 0.3379 0.0876
Br: 0.3190 0.3190 0.3190
Pb: 0.0000 0.0000 0.0000



Entry 14:
First-principles (PBE) data for a geometry-optimized InPb2Br structure, as listed in the Alexandria database.

E above lowest polymorph (eV per formula unit): 0.19

Lattice parameters (Å, degrees): 3.5705 3.5705 10.6484 90.00 90.00 115.51
Element x y z (fractional)
Pb: 0.5000 0.5000 0.2596
Pb: 0.0000 0.0000 0.9971
Br: 0.0000 0.0000 0.5162
In: 0.5000 0.5000 0.7272



Entry 15:
First-principles (PBE) data for a geometry-optimized In2PbBr6 structure, as listed in the Alexandria database.

E above lowest polymorph (eV per formula unit): 0.66

Lattice parameters (Å, degrees): 9.4317 9.8437 9.8437 87.23 71.79 71.79
Element x y z (fractional)
Br: 0.3836 0.0060 0.2021
Br: 0.2628 0.3630 0.9513
Br: 0.0354 0.6451 0.6313
Br: 0.7372 0.6370 0.0487
Br: 0.2372 0.0487 0.6370
Br: 0.7628 0.9513 0.3630
Br: 0.5354 0.6313 0.6451
Br: 0.8836 0.2021 0.0060
Br: 0.9646 0.3549 0.3687
Br: 0.6164 0.9940 0.7979
Br: 0.1164 0.7979 0.9940
Br: 0.4646 0.3687 0.3549
In: 0.7486 0.4120 0.2264
In: 0.2514 0.5880 0.7736
In: 0.2486 0.2264 0.4120
In: 0.7514 0.7736 0.5880
Pb: 0.2500 0.0735 0.9265
Pb: 0.7500 0.9265 0.0735



Entry 16:
First-principles (PBE) data for a geometry-optimized InPb2Br structure, as listed in the Alexandria database.

E above lowest polymorph (eV per formula unit): 0.65

Lattice parameters (Å, degrees): 4.9634 4.9633 4.9633 90.00 90.00 90.00
Element x y z (fractional)
In: 0.5000 0.0000 0.5000
Pb: 0.0000 0.0000 0.0000
Pb: 0.0000 0.5000 0.5000
Br: 0.5000 0.5000 0.0000



Entry 17:
First-principles (PBE) data for a geometry-optimized InPb4Br8 structure, as listed in the Alexandria database.

Lattice parameters (Å, degrees): 9.3112 9.3112 9.3112 60.00 60.00 60.00
Element x y z (fractional)
Pb: 0.3718 0.3718 0.3718
Pb: 0.3718 0.3718 0.8847
Pb: 0.8847 0.3718 0.3718
Pb: 0.3718 0.8847 0.3718
Br: 0.1385 0.1385 0.5845
Br: 0.1385 0.1385 0.1385
Br: 0.6104 0.1688 0.6104
Br: 0.1385 0.5845 0.1385
Br: 0.1688 0.6104 0.6104
Br: 0.5845 0.1385 0.1385
Br: 0.6104 0.6104 0.1688
Br: 0.6104 0.6104 0.6104
In: 0.7500 0.7500 0.7500



Entry 18:
First-principles (PBE) data for a geometry-optimized InPb2Br structure, as listed in the Alexandria database.

E above lowest polymorph (eV per formula unit): 0.00

Lattice parameters (Å, degrees): 5.7928 3.6215 6.1362 78.93 90.00 90.00
Element x y z (fractional)
Pb: 0.0000 0.0092 0.0954
Pb: 0.5000 0.4941 0.1651
In: 0.5000 0.7957 0.6340
Br: 0.0000 0.2011 0.6055



Entry 19:
First-principles (PBE) data for a geometry-optimized InPb2Br structure, as listed in the Alexandria database.

E above lowest polymorph (eV per formula unit): 0.06

Lattice parameters (Å, degrees): 3.6550 3.6550 8.8648 90.00 90.00 90.00
Element x y z (fractional)
Br: 0.5000 0.5000 0.2500
Pb: 0.0000 0.0000 0.5078
Pb: 0.0000 0.0000 0.9922
In: 0.5000 0.5000 0.7500



Entry 20:
First-principles (PBE) data for a geometry-optimized InPb3Br structure, as listed in the Alexandria database.

E above lowest polymorph (eV per formula unit): 0.00

Lattice parameters (Å, degrees): 5.8873 5.8873 5.8873 90.00 90.00 90.00
Element x y z (fractional)
Br: 0.5000 0.5000 0.5000
Pb: 0.0000 0.0000 0.5000
Pb: 0.5000 0.0000 0.0000
Pb: 0.0000 0.5000 0.0000
In: 0.0000 0.0000 0.0000



Entry 21:
First-principles (PBE) data for a geometry-optimized In2Pb2Br structure, as listed in the Alexandria database.

E above lowest polymorph (eV per formula unit): 0.28

Lattice parameters (Å, degrees): 9.0919 9.0919 3.7713 90.00 90.00 90.00
Element x y z (fractional)
In: 0.3270 0.8270 0.0000
In: 0.8270 0.6730 0.0000
In: 0.1730 0.3270 0.0000
In: 0.6730 0.1730 0.0000
Pb: 0.3713 0.1287 0.5000
Pb: 0.6287 0.8713 0.5000
Pb: 0.1287 0.6287 0.5000
Pb: 0.8713 0.3713 0.5000
Br: 0.0000 0.0000 0.0000
Br: 0.5000 0.5000 0.0000



Entry 22:
First-principles (PBE) data for a geometry-optimized InPb2Br structure, as listed in the Alexandria database.

E above lowest polymorph (eV per formula unit): 0.22

Lattice parameters (Å, degrees): 10.8500 10.8500 10.8500 19.17 19.17 19.17
Element x y z (fractional)
Pb: 0.5048 0.5048 0.5048
Pb: 0.9952 0.9952 0.9952
Br: 0.2500 0.2500 0.2500
In: 0.7500 0.7500 0.7500



Entry 23:
First-principles (PBE) data for a geometry-optimized In5PbBr8 structure, as listed in the Alexandria database.

Lattice parameters (Å, degrees): 8.4892 8.4892 8.4892 108.12 112.22 108.12
Element x y z (fractional)
Br: 0.4867 0.6167 0.2262
Br: 0.1250 0.7439 0.9834
Br: 0.2394 0.2561 0.3811
Br: 0.1300 0.7395 0.5133
Br: 0.6095 0.3833 0.8700
Br: 0.6189 0.8584 0.8750
Br: 0.7738 0.2605 0.3905
Br: 0.0166 0.1416 0.7606
In: 0.0525 0.4338 0.1318
In: 0.8682 0.9207 0.3020
In: 0.6980 0.5662 0.6187
In: 0.5000 0.0000 0.5000
In: 0.3813 0.0793 0.9475
Pb: 0.2500 0.5000 0.7500



Entry 24:
First-principles (PBE) data for a geometry-optimized InPb2Br structure, as listed in the Alexandria database.

E above lowest polymorph (eV per formula unit): 0.17

Lattice parameters (Å, degrees): 6.8825 6.8825 6.8825 150.06 130.78 58.69
Element x y z (fractional)
Pb: 0.0124 0.0124 0.0000
Pb: 0.4876 0.4876 0.0000
Br: 0.7500 0.2500 0.5000
In: 0.2500 0.7500 0.5000



Entry 25:
First-principles (PBE) data for a geometry-optimized In2Pb2Br structure, as listed in the Alexandria database.

E above lowest polymorph (eV per formula unit): 0.12

Lattice parameters (Å, degrees): 8.9253 8.9253 3.9309 90.00 90.00 90.00
Element x y z (fractional)
In: 0.3757 0.1243 0.5000
In: 0.1243 0.6243 0.5000
In: 0.8757 0.3757 0.5000
In: 0.6243 0.8757 0.5000
Pb: 0.3222 0.8222 0.0000
Pb: 0.1778 0.3222 0.0000
Pb: 0.6778 0.1778 0.0000
Pb: 0.8222 0.6778 0.0000
Br: 0.5000 0.5000 0.0000
Br: 0.0000 0.0000 0.0000



Entry 26:
First-principles (PBE) data for a geometry-optimized InPb2Br structure, as listed in the Alexandria database.

E above lowest polymorph (eV per formula unit): 0.18

Lattice parameters (Å, degrees): 5.7618 5.7618 3.5889 90.00 90.00 90.06
Element x y z (fractional)
Br: 0.5000 0.0000 0.5000
Pb: 0.5000 0.5000 0.0000
Pb: 0.0000 0.0000 0.0000
In: 0.0000 0.5000 0.5000



Number 1: uncorrected formation energy -0.068 eV/atom, ρ 7.37 Mg/m³. Number 2: uncorrected formation energy -0.077 eV/atom, ρ 8.47 Mg/m³. Number 3: uncorrected formation energy -0.190 eV/atom, ρ 8.16 Mg/m³. Number 4: uncorrected formation energy -0.066 eV/atom, ρ 8.15 Mg/m³. Number 5: uncorrected formation energy -0.106 eV/atom, ρ 7.68 Mg/m³. Number 6: uncorrected formation energy -0.702 eV/atom, ρ 4.89 Mg/m³. Number 7: uncorrected formation energy -0.756 eV/atom, ρ 4.48 Mg/m³. Number 8: uncorrected formation energy -0.160 eV/atom, ρ 8.22 Mg/m³. Number 9: uncorrected formation energy -0.307 eV/atom, ρ 6.19 Mg/m³. Number 10: uncorrected formation energy 0.185 eV/atom, ρ 4.68 Mg/m³. Number 11: uncorrected formation energy -0.088 eV/atom, ρ 8.47 Mg/m³. Number 12: uncorrected formation energy -0.071 eV/atom, ρ 8.58 Mg/m³. Number 13: uncorrected formation energy -0.694 eV/atom, ρ 4.47 Mg/m³. Number 14: uncorrected formation energy -0.154 eV/atom, ρ 8.26 Mg/m³. Number 15: uncorrected formation energy -0.727 eV/atom, ρ 3.70 Mg/m³. Number 16: uncorrected formation energy -0.040 eV/atom, ρ 8.27 Mg/m³. Number 17: uncorrected formation energy -0.752 eV/atom, ρ 4.60 Mg/m³. Number 18: uncorrected formation energy -0.202 eV/atom, ρ 8.01 Mg/m³. Number 19: uncorrected formation energy -0.189 eV/atom, ρ 8.54 Mg/m³. Number 20: uncorrected formation energy 0.315 eV/atom, ρ 6.64 Mg/m³. Number 21: uncorrected formation energy -0.051 eV/atom, ρ 7.71 Mg/m³. Number 22: uncorrected formation energy -0.149 eV/atom, ρ 8.40 Mg/m³. Number 23: uncorrected formation energy -0.664 eV/atom, ρ 5.02 Mg/m³. Number 24: uncorrected formation energy -0.161 eV/atom, ρ 8.27 Mg/m³. Number 25: uncorrected formation energy -0.082 eV/atom, ρ 7.68 Mg/m³. Number 26: uncorrected formation energy -0.158 eV/atom, ρ 8.49 Mg/m³.